This record from Alexandria describes a geometry-optimized SrPuAu2O6 structure. The functional is GGA-PBE.

## Properties
The raw formation energy is -1.559 eV per atom. The calculated volume comes out at 18.7 A^3/atom. As for the total magnetization: 0.031 μB per atom. As for the space group: C2/c, No. 15.

Lattice parameters (Å, degrees): 6.4121 7.8762 7.8762 77.09 77.87 77.87
Closest atoms and distances in Å follow each position.
Element x y z (fractional)
Sr 0.2500 0.8890 0.1110  6 O 2.51-2.57
Sr 0.7500 0.1110 0.8890  6 O 2.51-2.57
Pu 0.2500 0.2760 0.7240  4 O 1.85-2.04
Pu 0.7500 0.7240 0.2760  4 O 1.85-2.04
Au 0.2373 0.7684 0.7404  2 O 1.96-2.01
Au 0.2627 0.2596 0.2316  2 O 1.96-2.01
Au 0.7627 0.2316 0.2596  2 O 1.96-2.01
Au 0.7373 0.7404 0.7684  2 O 1.96-2.01
O 0.1518 0.0116 0.8010  1 Au 2.01, 1 Pu 2.22
O 0.3482 0.1990 0.9884  1 Au 2.01, 1 Pu 2.22
O 0.8482 0.9884 0.1990  1 Au 2.01, 1 Pu 2.22
O 0.6518 0.8010 0.0116  1 Au 2.01, 1 Pu 2.22
O 0.4652 0.8149 0.3576  1 Pu 1.85
O 0.0348 0.6424 0.1851  1 Pu 1.85
O 0.5348 0.1851 0.6424  1 Pu 1.85
O 0.9652 0.3576 0.8149  1 Pu 1.85
O 0.3147 0.5225 0.7053  1 Au 1.96, 1 Pu 2.04
O 0.1853 0.2947 0.4775  1 Au 1.96, 1 Pu 2.04
O 0.6853 0.4775 0.2947  1 Au 1.96, 1 Pu 2.04
O 0.8147 0.7053 0.5225  1 Au 1.96, 1 Pu 2.04